# 1
VASP calculation (PBE-GGA) on a geometry-optimized NbSbO3 structure.

```
NbSbO3
1.0
-3.629 1.375 0.586
-3.179 -0.970 -4.269
-5.407 -8.776 0.259
O Sb Nb
6 2 2
Direct
0.055 0.021 0.869
0.945 0.979 0.131
0.671 0.611 0.047
0.810 0.650 0.730
0.190 0.350 0.270
0.329 0.389 0.953
0.673 0.068 0.587
0.327 0.932 0.413
0.872 0.340 0.916
0.128 0.660 0.084
```

Space group: C2/m, No. 12
M_tot in μB/cell: 0.00
Formation energy from raw total energies in kJ/mol of atoms: -184.52

***

# 2
VASP calculation (PBE-GGA) on a geometry-optimized Nb2SbO structure.

```
Nb2SbO
1.0
5.093 0.000 0.000
0.000 5.093 0.000
2.547 2.547 6.276
O Nb Sb
2 4 2
Direct
0.500 0.500 0.000
0.250 0.750 0.500
0.268 0.625 0.250
0.375 0.518 0.750
0.482 0.125 0.250
0.875 0.732 0.750
0.750 0.250 0.500
0.000 0.000 0.000
```

Space group: I-42d, No. 122
Energy relative to the lowest polymorph listed for this composition in meV per atom: 0.0
M_tot in μB/cell: 0.00
Formation energy from raw total energies in kJ/mol of atoms: -46.38

***

# 3
VASP calculation (PBE-GGA) on a geometry-optimized NbSbO4 structure.

```
NbSbO4
1.0
6.045 0.184 0.000
-2.273 5.604 0.000
-1.886 -2.894 4.964
Sb O Nb
2 8 2
Direct
0.291 0.291 0.000
0.041 0.541 0.500
0.699 0.404 0.705
0.744 0.949 0.795
0.709 0.524 0.184
0.274 0.590 0.316
0.274 0.959 0.684
0.154 0.949 0.205
0.340 0.524 0.816
0.699 0.994 0.295
0.511 0.011 0.500
0.761 0.761 0.000
```

Space group: I4_1md, No. 109
M_tot in μB/cell: 0.00
Formation energy from raw total energies in kJ/mol of atoms: -188.82

***

# 4
VASP calculation (PBE-GGA) on a geometry-optimized NbSb2O8 structure.

```
NbSb2O8
1.0
-5.493 1.648 1.889
-1.786 -3.416 -3.619
1.377 -2.267 4.574
O Nb Sb
8 1 2
Direct
0.777 0.374 0.374
0.845 0.941 0.585
0.503 0.836 0.122
0.503 0.122 0.836
0.845 0.585 0.941
0.180 0.036 0.365
0.180 0.365 0.036
0.203 0.581 0.581
0.456 0.187 0.187
0.005 0.309 0.664
0.005 0.664 0.309
```

Space group: Cm, No. 8
M_tot in μB/cell: 1.05
Formation energy from raw total energies in kJ/mol of atoms: -131.73

***

# 5
VASP calculation (PBE-GGA) on a geometry-optimized Nb2SbO structure.

```
Nb2SbO
1.0
0.000 3.216 3.216
3.216 0.000 3.216
3.216 3.216 0.000
Sb Nb O
1 2 1
Direct
0.500 0.500 0.500
0.250 0.250 0.250
0.750 0.750 0.750
0.000 0.000 0.000
```

Space group: Fm-3m, No. 225
Energy relative to the lowest polymorph listed for this composition in meV per atom: 383.1
M_tot in μB/cell: 0.00
Formation energy from raw total energies in kJ/mol of atoms: -9.42

***

# 6
VASP calculation (PBE-GGA) on a geometry-optimized NbSbO2 structure.

```
NbSbO2
1.0
7.001 -1.964 1.844
7.262 -1.491 -1.146
7.412 0.854 0.782
O Nb Sb
2 1 1
Direct
0.892 0.892 0.892
0.108 0.108 0.108
0.500 0.500 0.500
0.000 0.000 0.000
```

Space group: R-3m, No. 166
M_tot in μB/cell: 0.00
Formation energy from raw total energies in kJ/mol of atoms: -138.95

***

# 7
VASP calculation (PBE-GGA) on a geometry-optimized NbSbO4 structure.

```
NbSbO4
1.0
5.054 0.000 0.000
0.000 5.678 0.000
0.000 0.000 11.992
O Sb Nb
16 4 4
Direct
0.230 0.882 0.457
0.164 0.819 0.849
0.836 0.181 0.349
0.335 0.660 0.660
0.336 0.319 0.849
0.786 0.426 0.559
0.730 0.618 0.957
0.286 0.074 0.059
0.770 0.118 0.957
0.835 0.840 0.160
0.270 0.382 0.457
0.664 0.681 0.349
0.714 0.926 0.559
0.165 0.160 0.660
0.214 0.574 0.059
0.665 0.340 0.160
0.943 0.522 0.249
0.443 0.978 0.749
0.057 0.478 0.749
0.557 0.022 0.249
0.009 0.888 0.001
0.491 0.388 0.001
0.991 0.112 0.501
0.509 0.612 0.501
```

Space group: Pna2_1, No. 33
M_tot in μB/cell: 0.00
Formation energy from raw total energies in kJ/mol of atoms: -199.09

***

# 8
VASP calculation (PBE-GGA) on a geometry-optimized ScNbSbO6 structure.

```
ScNbSbO6
1.0
-0.423 2.079 -4.922
-3.013 -4.205 1.401
-6.507 5.644 2.943
Nb O Sb Sc
2 12 2 2
Direct
0.333 0.667 0.250
0.667 0.333 0.750
0.665 0.656 0.632
0.665 0.009 0.868
0.656 0.665 0.132
0.344 0.335 0.868
0.656 0.991 0.368
0.335 0.344 0.368
0.344 0.009 0.632
0.991 0.656 0.868
0.335 0.991 0.132
0.009 0.665 0.368
0.991 0.335 0.632
0.009 0.344 0.132
0.667 0.333 0.250
0.333 0.667 0.750
0.000 0.000 0.500
0.000 0.000 0.000
```

Space group: P-31c, No. 163
M_tot in μB/cell: 0.00
Formation energy from raw total energies in kJ/mol of atoms: -220.47